This record from Alexandria via LeMat-Bulk describes a geometry-optimized PrMnSn structure. The functional is PBE.

Cell: 4.918 4.918 8.122 Å, 72.38 72.38 60.00°
Sites, in units of the cell vectors:
1 Mn 0.722 0.722 0.833
2 Mn 0.278 0.278 0.167
3 Pr 0.127 0.127 0.618
4 Pr 0.873 0.873 0.382
5 Sn 0.398 0.398 0.805
6 Sn 0.602 0.602 0.195

Results
VASP energy: -35.526 eV for the cell shown